[1]
DFT (PBE) results for a geometry-optimized BePdRh3 structure. Values from VASP.

```
&SYSTEM
  ibrav = 0, nat = 5, ntyp = 3
/
ATOMIC_SPECIES
Be 9.01 Be.upf
Pd 106.42 Pd.upf
Rh 102.91 Rh.upf
CELL_PARAMETERS angstrom
4.1270 0.0000 0.0000
0.0000 4.1270 0.0000
0.0000 0.0000 4.1270
ATOMIC_POSITIONS crystal
Be 0.0000 0.0000 0.0000
Pd 0.5000 0.5000 0.5000
Rh 0.0000 0.0000 0.5000
Rh 0.0000 0.5000 0.0000
Rh 0.5000 0.0000 0.0000
```

As for the total energy: -29.59 eV for the cell shown. Its crystal system is cubic. The formation energy comes out at 277 meV per atom. As for the total magnetization: 0.424 μB/atom.

=====

[2]
DFT (PBE) results for a geometry-optimized VRuBr2 structure. Values from VASP.

```
&SYSTEM
  ibrav = 0, nat = 16, ntyp = 3
/
ATOMIC_SPECIES
V 50.94 V.upf
Ru 101.07 Ru.upf
Br 79.90 Br.upf
CELL_PARAMETERS angstrom
6.5957 0.0000 0.0000
0.0000 6.5957 0.0000
0.0000 0.0000 6.5957
ATOMIC_POSITIONS crystal
V 0.0000 0.0000 0.0000
V 0.0000 0.5000 0.5000
V 0.5000 0.0000 0.5000
V 0.5000 0.5000 0.0000
Ru 0.0000 0.0000 0.5000
Ru 0.0000 0.5000 0.0000
Ru 0.5000 0.0000 0.0000
Ru 0.5000 0.5000 0.5000
Br 0.2500 0.2500 0.2500
Br 0.2500 0.2500 0.7500
Br 0.2500 0.7500 0.2500
Br 0.2500 0.7500 0.7500
Br 0.7500 0.2500 0.2500
Br 0.7500 0.2500 0.7500
Br 0.7500 0.7500 0.2500
Br 0.7500 0.7500 0.7500
```

As for the total energy: -76.71 eV for the cell shown. Its crystal system is cubic. As for the total magnetization: 0.248 μB/atom. The raw formation energy is 0.64 eV per atom.

=====

[3]
DFT (PBE) results for a geometry-optimized Na3Pa3AsN8 structure. Values from VASP.

```
&SYSTEM
  ibrav = 0, nat = 15, ntyp = 4
/
ATOMIC_SPECIES
Na 22.99 Na.upf
Pa 231.04 Pa.upf
As 74.92 As.upf
N 14.01 N.upf
CELL_PARAMETERS angstrom
5.8186 -3.5781 0.0000
5.8186 3.5781 0.0000
-4.2114 0.0000 5.7365
ATOMIC_POSITIONS crystal
Na 0.0000 0.0000 0.0000
Na 0.0000 0.5000 0.0000
Na 0.5000 0.0000 0.0000
Pa 0.0000 0.5000 0.5000
Pa 0.5000 0.0000 0.5000
Pa 0.5000 0.5000 0.5000
As 0.0000 0.0000 0.5000
N 0.1981 0.1981 0.6884
N 0.2261 0.7258 0.6842
N 0.2679 0.2679 0.3146
N 0.2742 0.7739 0.3158
N 0.7258 0.2261 0.6842
N 0.7321 0.7321 0.6854
N 0.7739 0.2742 0.3158
N 0.8019 0.8019 0.3116
```

As for the total energy: -113.05 eV for the cell shown. Its crystal system is monoclinic. As for the total magnetization: 0.000 μB/atom. The raw formation energy is -0.62 eV per atom.